Compound: BaBeIn2Re
Source: the Alexandria database
Functional: SCAN
Structure: PBEsol geometry

Cell: 5.928 5.928 4.913 Å, 90.00 90.00 90.00°
Fractional positions:
Ba  0.000  0.000  0.000
Be  0.000  0.000  0.500
In  0.000  0.500  0.000
In  0.500  0.000  0.000
Re  0.500  0.500  0.500

Values from the calculation:
size of the total moment: 3.18 μB per cell
DFT formation energy: 247.1 kJ/mol of atoms
N(E_F): 4.13 states/eV/f.u.
SG: P4/mmm, No. 123

***

Compound: Cr2TePt
Source: the Alexandria database
Functional: SCAN
Structure: PBEsol geometry

Cell: 3.980 3.980 3.790 Å, 90.00 90.00 90.00°
Fractional positions:
Cr  0.000  0.500  0.000
Cr  0.500  0.000  0.000
Te  0.000  0.000  0.500
Pt  0.500  0.500  0.500

Values from the calculation:
size of the total moment: 4.44 μB per cell
N(E_F): 1.65 states/eV/f.u.
SG: P4/mmm, No. 123
energy: -144.08 eV for the cell shown

***

Compound: CaAg2Cl
Source: the Alexandria database
Functional: SCAN
Structure: PBEsol geometry

Cell: 8.698 8.698 8.698 Å, 23.13 23.13 23.13°
Fractional positions:
Ca  0.000  0.000  0.000
Ag  0.242  0.242  0.242
Ag  0.758  0.758  0.758
Cl  0.500  0.500  0.500

Values from the calculation:
energy above the lowest structure with this stoichiometry: 0.540 eV per atom
size of the total moment: 0.00 μB per cell
N(E_F): 1.74 states/eV/f.u.
SG: R-3m, No. 166

***

Compound: Ni2PtBr
Source: the Alexandria database
Functional: SCAN
Structure: PBEsol geometry

Cell: 5.137 5.137 5.137 Å, 147.88 129.62 61.01°
Fractional positions:
Ni  0.000  0.000  0.000
Ni  0.767  0.267  0.500
Pt  0.266  0.766  0.500
Br  0.542  0.542  0.000

Values from the calculation:
size of the total moment: 0.00 μB per cell
N(E_F): 4.70 states/eV/f.u.
SG: Imm2, No. 44
energy: -119.43 eV for the cell shown

***

Compound: Be2NbRe2
Source: the Alexandria database
Functional: SCAN
Structure: PBEsol geometry

Cell: 6.250 6.250 3.130 Å, 90.00 90.00 90.00°
Fractional positions:
Be  0.117  0.383  0.000
Be  0.383  0.883  0.000
Be  0.617  0.117  0.000
Be  0.883  0.617  0.000
Nb  0.000  0.000  0.000
Nb  0.500  0.500  0.000
Re  0.174  0.674  0.500
Re  0.326  0.174  0.500
Re  0.674  0.826  0.500
Re  0.826  0.326  0.500

Values from the calculation:
size of the total moment: 0.00 μB per cell
DFT formation energy: -29.1 kJ/mol of atoms
N(E_F): 2.02 states/eV/f.u.
SG: P4/mbm, No. 127

***

Compound: Y2HgPt
Source: the Alexandria database
Functional: SCAN
Structure: PBEsol geometry

Cell: 8.850 8.850 8.850 Å, 24.61 24.61 24.61°
Fractional positions:
Y  0.000  0.000  0.000
Y  0.214  0.214  0.214
Hg  0.750  0.750  0.750
Pt  0.484  0.484  0.484

Values from the calculation:
size of the total moment: 0.94 μB per cell
DFT formation energy: -47.1 kJ/mol of atoms
N(E_F): 3.21 states/eV/f.u.
SG: R3m, No. 160

***

Number 1: calculated volume 34.5 A^3/atom. Number 2: calculated volume 15.0 A^3/atom. Number 3: calculated volume 22.3 A^3/atom. Number 4: calculated volume 13.8 A^3/atom. Number 5: calculated volume 12.2 A^3/atom. Number 6: calculated volume 26.4 A^3/atom.